The following is a PBE calculation of crystalline CaZn2Ni at its relaxed geometry, from Alexandria.

Mass density = 5.33 Mg/m³
VASP energy = -0.0989 Ha/atom

a = 3.2659 Å, b = 3.2659 Å, c = 6.7000 Å
α = 90.00°, β = 90.00°, γ = 90.00°
Atoms (fractional coordinates):
Zn: 0.0000 0.0000 0.9682
Zn: 0.5000 0.5000 0.1933
Ni: 0.5000 0.5000 0.8163
Ca: 0.0000 0.0000 0.5222